The following is a PBE calculation of crystalline CdSnAu14 at its relaxed geometry, from Alexandria via LeMat-Bulk.

It has space group Amm2 (No. 38), with a = 9.7170 Å, b = 6.3632 Å, c = 9.6369 Å, α = 90.00°, β = 90.00° and γ = 90.00°. The inequivalent atoms are Cd at (0.0000, 0.0000, 0.0000), Sn at (0.0000, 0.0000, 0.5000), Au at (0.0000, 0.2497, 0.2523), Au at (0.2499, 0.0000, 0.1823), Au at (0.2535, 0.0000, 0.6849), Au at (0.2534, 0.2502, 0.4336), Au at (0.5000, 0.0000, 0.0012), Au at (0.5000, 0.0000, 0.5029) and Au at (0.5000, 0.2467, 0.2511).

For the energy, the calculation gives -3.189 eV per atom. For the density, the calculation gives 16.66 g/cm³.